[1]
Material: Li3GeO4
Method: DFT, GGA-PBE
State: relaxed Values from VASP.

The structure in Quantum ESPRESSO input format:
```
&SYSTEM
  ibrav = 0, nat = 16, ntyp = 3
/
ATOMIC_SPECIES
Li 6.94 Li.upf
O 16.00 O.upf
Ge 72.64 Ge.upf
CELL_PARAMETERS angstrom
4.853 0.000 0.000
0.000 5.621 0.000
0.000 0.000 6.469
ATOMIC_POSITIONS angstrom
Li 2.953 4.673 0.000
Li 0.522 3.738 1.571
Li 2.948 1.883 4.805
Li 0.527 0.948 3.234
Li 0.522 3.738 4.898
Li 2.948 1.883 1.664
O 2.536 0.760 3.234
O 2.393 0.975 0.000
O 0.123 1.815 1.473
O 0.123 1.815 4.996
O 2.550 3.806 1.761
O 4.820 4.646 3.234
O 0.109 4.861 0.000
O 2.550 3.806 4.707
Ge 0.607 0.940 0.000
Ge 3.034 4.681 3.234
```

Computed properties:
magnetization: 2.05 μB per cell
formation energy from raw total energies: -13.86 eV/f.u.
total energy: -5.51 eV per atom
energy above the most stable polymorph in this dataset: 2 meV per atom


[2]
Material: Li3GeO
Method: DFT, GGA-PBE
State: relaxed Values from VASP.

The structure in Quantum ESPRESSO input format:
```
&SYSTEM
  ibrav = 0, nat = 5, ntyp = 3
/
ATOMIC_SPECIES
Ge 72.64 Ge.upf
Li 6.94 Li.upf
O 16.00 O.upf
CELL_PARAMETERS angstrom
-0.665 0.415 -4.781
-4.799 -0.083 0.660
-0.026 4.826 0.423
ATOMIC_POSITIONS angstrom
Ge 0.000 0.000 0.000
Li -2.399 -0.042 0.330
Li -0.013 2.413 0.211
Li -0.332 0.208 -2.390
O -2.745 2.579 -1.849
```

Computed properties:
magnetization: 3.00 μB per cell
formation energy from raw total energies: 1.75 eV/f.u.
total energy: -2.71 eV per atom
energy above the most stable polymorph in this dataset: 1216 meV per atom